Entry 1:
Computed, not measured: a relaxed Pa2Al8Tc crystal at the GGA-PBE level of DFT.

Space-group type: No. 123
Final energy in eV for the cell shown: -62.54
Total moment in Bohr magnetons per cell: 0.00
Energy of formation from the pure elements in eV per formula unit: -3.2
V in A^3/atom: 19.25
Calculated density in g/cm3: 6.09

abc: 4.329 4.329 11.296
angles: 90.00 90.00 90.00
Fractional coordinates of all 11 atoms:
Al 0.000 0.500 0.500
Al 0.500 0.500 0.690
Al 0.500 0.500 0.310
Al 0.000 0.500 0.880
Al 0.500 0.000 0.120
Al 0.500 0.000 0.880
Al 0.500 0.000 0.500
Al 0.000 0.500 0.120
Tc 0.000 0.000 0.000
Pa 0.000 0.000 0.693
Pa 0.000 0.000 0.307

Entry 2:
Computed, not measured: a relaxed Pa2Al3Tc crystal at the GGA-PBE level of DFT.

Space-group type: No. 12
Final energy in eV for the cell shown: -42.77
Total moment in Bohr magnetons per cell: 0.00
Energy of formation from the pure elements in eV per formula unit: -2.2
V in A^3/atom: 18.82
Calculated density in g/cm3: 9.43

abc: 5.307 5.307 5.554
angles: 89.94 118.46 120.16
Fractional coordinates of all 6 atoms:
Al 0.500 0.000 0.500
Al 0.000 0.000 0.500
Al 0.500 0.500 0.500
Pa 0.272 0.637 0.909
Pa 0.728 0.363 0.091
Tc 0.000 0.000 0.000

Entry 3:
Computed, not measured: a relaxed PaAlTc2 crystal at the GGA-PBE level of DFT.

Space-group type: No. 225
Final energy in eV for the cell shown: -35.40
Total moment in Bohr magnetons per cell: 0.00
E above lowest polymorph in meV per atom: 48
Energy of formation from the pure elements in eV per formula unit: -1.4
V in A^3/atom: 17.27
Calculated density in g/cm3: 10.92

abc: 4.605 4.605 4.605
angles: 60.00 60.00 60.00
Fractional coordinates of all 4 atoms:
Tc 0.250 0.250 0.250
Tc 0.750 0.750 0.750
Pa 0.000 0.000 0.000
Al 0.500 0.500 0.500

Entry 4:
Computed, not measured: a relaxed PaAlTc crystal at the GGA-PBE level of DFT.

Space-group type: No. 187
Final energy in eV for the cell shown: -24.06
Total moment in Bohr magnetons per cell: 0.00
E above lowest polymorph in meV per atom: 273
Energy of formation from the pure elements in eV per formula unit: -0.5
V in A^3/atom: 19.65
Calculated density in g/cm3: 10.03

abc: 3.420 4.462 4.462
angles: 120.00 90.00 90.00
Fractional coordinates of all 3 atoms:
Al 0.833 0.667 0.333
Pa 0.333 0.333 0.667
Tc 0.833 0.000 0.000

Q: calculated density of number 4 (PaAlTc)?
A: 10.03 g/cm3

Q: Look up the final energy of the second one.
A: -42.77 eV for the cell shown

Q: What is the total moment in the first record?
A: 0.00 Bohr magnetons per cell